## PmFeAs2O6 (GGA+U)

Data for a relaxed structure of PmFeAs2O6.

Cell and atoms, written as CIF:
```
data_PmFeAs2O6
_chemical_formula_sum 'Pm4 Fe4 As8 O24'
_cell_length_a 8.430
_cell_length_b 10.153
_cell_length_c 6.578
_cell_angle_alpha 90.00
_cell_angle_beta 106.36
_cell_angle_gamma 90.00
_space_group_name_H-M_alt 'C 1 2/c 1'
_space_group_IT_number 15
_space_group_name_Hall '-C 2yc'
loop_
_atom_site_label
_atom_site_type_symbol
_atom_site_fract_x
_atom_site_fract_y
_atom_site_fract_z
_atom_site_occupancy
Pm1 Pm 0.000 0.106 0.250 1
Fe1 Fe 0.000 0.278 0.750 1
As1 As 0.165 0.421 0.265 1
O1 O 0.113 0.104 0.634 1
O2 O 0.113 0.287 0.083 1
O3 O 0.184 0.423 0.652 1
```

Mass density   5.49 g/cm³
E   -6.671 eV/atom